# TbMn2BiO6, relaxed, DFT PBE+U
# Energy above the lowest structure with this stoichiometry (eV per atom): 0.691
data_TbMn2BiO6
_symmetry_space_group_name_H-M 'F m -3 m'
_symmetry_Int_Tables_number 225
_symmetry_space_group_name_Hall '-F 4 2 3'
_cell_length_a 8.498
_cell_length_b 8.498
_cell_length_c 8.498
_cell_angle_alpha 90.00
_cell_angle_beta 90.00
_cell_angle_gamma 90.00
loop_
_atom_site_label
_atom_site_type_symbol
_atom_site_fract_x
_atom_site_fract_y
_atom_site_fract_z
Tb1 Tb 0.000 0.000 0.000
Mn1 Mn 0.250 0.250 0.250
Bi1 Bi 0.000 0.000 0.500
O1 O 0.000 0.000 0.256